# Li2DyCd10

Li2DyCd10 after structural relaxation (PBE, the Alexandria database).

Lattice parameters (Å, degrees): 5.7282 7.6004 7.4933 81.72 67.53 67.86
Last column: nearest neighbours and their distance in Å.
Positions (direct):
Li 0.0000 0.5000 0.0000  8 Cd 2.80-2.90, 2 Li 2.86
Li 0.5000 0.5000 0.0000  8 Cd 2.80-2.90, 2 Li 2.86
Dy 0.0000 0.0000 0.0000  16 Cd 3.41-3.75, 4 Li 3.80
Cd 0.3446 0.6437 0.6672  2 Li 2.90, 6 Cd 3.07-3.14
Cd 0.6554 0.3563 0.3328  2 Li 2.90, 6 Cd 3.07-3.14
Cd 0.9883 0.3563 0.6672  2 Li 2.90, 6 Cd 3.07-3.14
Cd 0.0117 0.6437 0.3328  2 Li 2.90, 6 Cd 3.07-3.14
Cd 0.0000 0.0000 0.5000  10 Cd 2.86-3.11
Cd 0.5000 0.0000 0.5000  10 Cd 2.86-3.11
Cd 0.2849 0.2241 0.2060  2 Li 2.80, 6 Cd 2.85-3.14
Cd 0.7151 0.7759 0.7940  2 Li 2.80, 6 Cd 2.85-3.14
Cd 0.5091 0.7759 0.2060  2 Li 2.80, 6 Cd 2.85-3.14
Cd 0.4909 0.2241 0.7940  2 Li 2.80, 6 Cd 2.85-3.14

Values from the calculation:
Energy of formation from the pure elements (kJ/mol of formula units): -197
E_tot (eV for the cell shown): -19.63
Space group: No. 69